1.
A plane-wave DFT calculation with PBE was carried out for AgBSb after structural relaxation.

Summary:
Energy above the most stable polymorph in this dataset (eV per atom): 0.000
Crystal system: cubic

Cell: 6.2764 6.2764 6.2764 Å, 90.00 90.00 90.00°
Space group F-43m (No. 216)
Inequivalent atoms, fractional coordinates:
Ag 0.0000 0.0000 0.0000 [4 per cell]
B 0.0000 0.0000 0.5000 [4 per cell]
Sb 0.2500 0.2500 0.7500 [4 per cell]


2.
A plane-wave DFT calculation with PBE was carried out for BaPtNO after structural relaxation.

Summary:
Size of the total moment (μB/cell): 2.2
Energy above the most stable polymorph in this dataset (eV per atom): 0.951
Crystal system: tetragonal

Cell: 5.1034 5.1034 5.3550 Å, 90.00 90.00 90.00°
Space group P4/nmm (No. 129, origin choice 2)
Inequivalent atoms, fractional coordinates:
Ba 0.2500 0.7500 0.0000 [2 per cell]
Pt 0.2500 0.2500 0.4736 [2 per cell]
N 0.2500 0.2500 0.1156 [2 per cell]
O 0.2500 0.7500 0.5000 [2 per cell]


3.
A plane-wave DFT calculation with PBE was carried out for MgBePtPb after structural relaxation.

Summary:
Size of the total moment (μB/cell): 0.0
Energy above the most stable polymorph in this dataset (eV per atom): 0.000
Crystal system: cubic

Cell: 6.5379 6.5379 6.5379 Å, 90.00 90.00 90.00°
Space group F-43m (No. 216)
Inequivalent atoms, fractional coordinates:
Mg 0.0000 0.0000 0.0000 [4 per cell]
Be 0.0000 0.0000 0.5000 [4 per cell]
Pt 0.2500 0.2500 0.7500 [4 per cell]
Pb 0.2500 0.2500 0.2500 [4 per cell]


4.
A plane-wave DFT calculation with PBE was carried out for Dy4Er2LuTe2Ir2 after structural relaxation.

Summary:
Size of the total moment (μB/cell): 0.0
Energy above the most stable polymorph in this dataset (eV per atom): 0.009
Crystal system: orthorhombic

Cell: 3.9146 15.6546 9.4600 Å, 90.00 90.00 90.00°
Space group Imm2 (No. 44)
Inequivalent atoms, fractional coordinates:
Dy 0.0000 0.1311 0.0000 [4 per cell]
Dy 0.0000 0.3159 0.7907 [4 per cell]
Er 0.0000 0.3543 0.1485 [4 per cell]
Lu 0.0000 0.0000 0.4194 [2 per cell]
Te 0.0000 0.0000 0.7534 [2 per cell]
Te 0.0000 0.5000 0.6554 [2 per cell]
Ir 0.0000 0.2370 0.4908 [4 per cell]


5.
A plane-wave DFT calculation with PBE was carried out for TbSmNO after structural relaxation.

Summary:
Size of the total moment (μB/cell): 0.0
Energy above the most stable polymorph in this dataset (eV per atom): 0.051
Crystal system: orthorhombic

Cell: 6.7104 8.1775 5.0409 Å, 90.00 90.00 90.00°
Space group Pca2_1 (No. 29)
Inequivalent atoms, fractional coordinates:
Tb 0.0722 0.1211 0.0000 [4 per cell]
Sm 0.0811 0.6284 0.0000 [4 per cell]
N 0.0664 0.6299 0.4991 [4 per cell]
O 0.0954 0.1244 0.5006 [4 per cell]


6.
A plane-wave DFT calculation with PBE was carried out for RbTmFeTe3 after structural relaxation.

Summary:
Size of the total moment (μB/cell): 7.5
Calculated total energy (Ry/atom): -0.34778
Crystal system: monoclinic

Cell: 9.7229 4.2698 11.0461 Å, 90.00 112.42 90.00°
Space group P2_1/m (No. 11)
Inequivalent atoms, fractional coordinates:
Rb 0.2342 0.2500 0.2704 [2 per cell]
Tm 0.3278 0.7500 0.8539 [2 per cell]
Fe 0.0657 0.2500 0.5789 [2 per cell]
Te 0.0963 0.2500 0.8278 [2 per cell]
Te 0.2240 0.7500 0.5502 [2 per cell]
Te 0.4512 0.7500 0.1481 [2 per cell]


7.
A plane-wave DFT calculation with PBE was carried out for LiCo3Ge5 after structural relaxation.

Summary:
Size of the total moment (μB/cell): 0.0
Calculated total energy (Ry/atom): -0.38416
Crystal system: hexagonal

Cell: 4.9404 4.9404 6.5532 Å, 90.00 90.00 120.00°
Space group P6/mmm (No. 191)
Inequivalent atoms, fractional coordinates:
Li 0.0000 0.0000 0.0000 [1 per cell]
Co 0.0000 0.5000 0.5000 [3 per cell]
Ge 0.0000 0.0000 0.5000 [1 per cell]
Ge 0.3333 0.6667 0.2010 [4 per cell]


8.
A plane-wave DFT calculation with PBE was carried out for Rb2As2Pd3 after structural relaxation.

Summary:
Calculated total energy (Ry/atom): -0.29548
Crystal system: trigonal

Cell: 4.4627 4.4627 30.1593 Å, 90.00 90.00 120.00°
Space group R3m (No. 160, hexagonal axes)
Inequivalent atoms, fractional coordinates:
Rb 0.0000 0.0000 0.0000 [3 per cell]
Rb 0.0000 0.0000 0.4189 [3 per cell]
As 0.0000 0.0000 0.1670 [3 per cell]
As 0.0000 0.0000 0.6057 [3 per cell]
Pd 0.0000 0.0000 0.2490 [3 per cell]
Pd 0.0000 0.0000 0.5268 [3 per cell]
Pd 0.0000 0.0000 0.8247 [3 per cell]


9.
A plane-wave DFT calculation with PBE was carried out for CsTl4W3 after structural relaxation.

Summary:
Size of the total moment (μB/cell): 4.1
Calculated total energy (Ry/atom): -0.31746
Crystal system: tetragonal

Cell: 5.8351 5.8351 11.9234 Å, 90.00 90.00 90.00°
Space group I4/mmm (No. 139)
Inequivalent atoms, fractional coordinates:
Cs 0.0000 0.0000 0.0000 [2 per cell]
Tl 0.0000 0.0000 0.2651 [4 per cell]
Tl 0.0000 0.5000 0.0000 [4 per cell]
W 0.0000 0.0000 0.5000 [2 per cell]
W 0.0000 0.5000 0.2500 [4 per cell]


10.
A plane-wave DFT calculation with PBE was carried out for BaPr6Co3 after structural relaxation.

Summary:
Size of the total moment (μB/cell): 3.6
Calculated total energy (Ry/atom): -0.27721
Crystal system: tetragonal

Cell: 8.6267 8.6267 10.4700 Å, 90.00 90.00 90.00°
Space group I4/mmm (No. 139)
Inequivalent atoms, fractional coordinates:
Ba 0.0000 0.0000 0.0000 [2 per cell]
Pr 0.0000 0.0000 0.2825 [4 per cell]
Pr 0.0000 0.3330 0.0000 [8 per cell]
Co 0.0000 0.0000 0.5000 [2 per cell]
Co 0.0000 0.5000 0.2500 [4 per cell]


11.
A plane-wave DFT calculation with PBE was carried out for KLaNdNi2 after structural relaxation.

Summary:
Size of the total moment (μB/cell): 0.0
Calculated total energy (Ry/atom): -0.33141
Crystal system: orthorhombic

Cell: 3.8197 4.1041 18.1805 Å, 90.00 90.00 90.00°
Space group Amm2 (No. 38)
Inequivalent atoms, fractional coordinates:
K 0.0000 0.0000 0.0000 [2 per cell]
La 0.5000 0.0000 0.6676 [2 per cell]
Nd 0.5000 0.0000 0.3367 [2 per cell]
Ni 0.0000 0.0000 0.2119 [2 per cell]
Ni 0.0000 0.0000 0.7931 [2 per cell]


12.
A plane-wave DFT calculation with PBE was carried out for ErMgNO after structural relaxation.

Summary:
Size of the total moment (μB/cell): 0.0
Energy above the most stable polymorph in this dataset (eV per atom): 0.014
Crystal system: tetragonal

Cell: 3.3029 3.3029 4.4891 Å, 90.00 90.00 90.00°
Space group P4/mmm (No. 123)
Inequivalent atoms, fractional coordinates:
Er 0.0000 0.0000 0.0000 [1 per cell]
Mg 0.5000 0.5000 0.5000 [1 per cell]
N 0.5000 0.5000 0.0000 [1 per cell]
O 0.0000 0.0000 0.5000 [1 per cell]


13.
A plane-wave DFT calculation with PBE was carried out for Cs2AgOsS4 after structural relaxation.

Summary:
Size of the total moment (μB/cell): 2.0
Calculated total energy (Ry/atom): -0.33526
Crystal system: triclinic

Cell: 7.0188 7.2505 11.1437 Å, 73.40 74.24 70.09°
Space group P-1 (No. 2)
Inequivalent atoms, fractional coordinates:
Cs 0.2330 0.2632 0.0957 [2 per cell]
Cs 0.2623 0.0121 0.6880 [2 per cell]
Ag 0.1335 0.5917 0.5723 [2 per cell]
Os 0.3700 0.6352 0.2695 [2 per cell]
S 0.2404 0.8649 0.3884 [2 per cell]
S 0.2522 0.7577 0.0903 [2 per cell]
S 0.2564 0.3723 0.3808 [2 per cell]
S 0.2872 0.4558 0.7692 [2 per cell]


14.
A plane-wave DFT calculation with PBE was carried out for Rb2PdI2Cl2 after structural relaxation.

Summary:
Calculated total energy (Ry/atom): -0.23183
Crystal system: orthorhombic

Cell: 4.6279 7.8128 7.8034 Å, 90.00 90.00 90.00°
Space group Pmm2 (No. 25)
Inequivalent atoms, fractional coordinates:
Rb 0.0000 0.0000 0.0000 [1 per cell]
Rb 0.0000 0.5000 0.3987 [1 per cell]
Pd 0.5000 0.0000 0.4471 [1 per cell]
I 0.5000 0.2349 0.6833 [2 per cell]
Cl 0.5000 0.2166 0.2304 [2 per cell]


15.
A plane-wave DFT calculation with PBE was carried out for InIrPd2 after structural relaxation.

Summary:
Size of the total moment (μB/cell): 0.0
Calculated total energy (Ry/atom): -0.40968
Crystal system: cubic

Cell: 6.3790 6.3790 6.3790 Å, 90.00 90.00 90.00°
Space group F-43m (No. 216)
Inequivalent atoms, fractional coordinates:
In 0.0000 0.0000 0.0000 [4 per cell]
Ir 0.2500 0.2500 0.2500 [4 per cell]
Pd 0.0000 0.0000 0.5000 [4 per cell]
Pd 0.2500 0.2500 0.7500 [4 per cell]


16.
A plane-wave DFT calculation with PBE was carried out for Nd2Fe14B after structural relaxation.

Summary:
Size of the total moment (μB/cell): 124.5
Energy above the most stable polymorph in this dataset (eV per atom): 0.000
Crystal system: tetragonal

Cell: 8.7622 8.7622 12.1248 Å, 90.00 90.00 90.00°
Space group P4_2/mnm (No. 136)
Inequivalent atoms, fractional coordinates:
Nd 0.1427 0.1427 0.0000 [4 per cell]
Nd 0.2316 0.2316 0.5000 [4 per cell]
Fe 0.0000 0.0000 0.3851 [4 per cell]
Fe 0.0000 0.5000 0.0000 [4 per cell]
Fe 0.0369 0.6398 0.1763 [16 per cell]
Fe 0.0673 0.7248 0.3723 [16 per cell]
Fe 0.0979 0.9021 0.2048 [8 per cell]
Fe 0.1822 0.1822 0.2543 [8 per cell]
B 0.1236 0.8764 0.5000 [4 per cell]


17.
A plane-wave DFT calculation with PBE was carried out for DyB4Au after structural relaxation.

Summary:
Size of the total moment (μB/cell): 0.0
Energy above the most stable polymorph in this dataset (eV per atom): 0.134
Crystal system: hexagonal

Cell: 3.2412 3.2412 7.2347 Å, 90.00 90.00 120.00°
Space group P6/mmm (No. 191)
Inequivalent atoms, fractional coordinates:
Dy 0.0000 0.0000 0.0000 [1 per cell]
B 0.3333 0.6667 0.2545 [4 per cell]
Au 0.0000 0.0000 0.5000 [1 per cell]


18.
A plane-wave DFT calculation with PBE was carried out for Th4HgF3 after structural relaxation.

Summary:
Size of the total moment (μB/cell): 0.6
Calculated total energy (Ry/atom): -0.41093
Crystal system: cubic

Cell: 5.7158 5.7158 5.7158 Å, 90.00 90.00 90.00°
Space group Pm-3m (No. 221)
Inequivalent atoms, fractional coordinates:
Th 0.0000 0.0000 0.0000 [1 per cell]
Th 0.0000 0.5000 0.5000 [3 per cell]
Hg 0.5000 0.5000 0.5000 [1 per cell]
F 0.0000 0.0000 0.5000 [3 per cell]


19.
A plane-wave DFT calculation with PBE was carried out for Th2Pt after structural relaxation.

Summary:
Size of the total moment (μB/cell): 6.9
Calculated formation energy (eV/atom): 1.150
Crystal system: cubic

Cell: 12.5505 12.5505 12.5505 Å, 90.00 90.00 90.00°
Space group Fd-3m (No. 227, origin choice 2)
Inequivalent atoms, fractional coordinates:
Th 0.0000 0.0000 0.0000 [16 per cell]
Pt 0.1250 0.1250 0.1250 [8 per cell]


20.
A plane-wave DFT calculation with PBE was carried out for CsYZnTeSe2 after structural relaxation.

Summary:
Size of the total moment (μB/cell): 0.0
Calculated total energy (Ry/atom): -0.32594
Crystal system: orthorhombic

Cell: 4.2468 16.8278 11.4467 Å, 90.00 90.00 90.00°
Space group Cmcm (No. 63)
Inequivalent atoms, fractional coordinates:
Cs 0.0000 0.2358 0.2500 [4 per cell]
Y 0.0000 0.0000 0.0000 [4 per cell]
Zn 0.0000 0.4711 0.7500 [4 per cell]
Te 0.0000 0.0730 0.7500 [4 per cell]
Se 0.0000 0.3926 0.5679 [8 per cell]


21.
A plane-wave DFT calculation with PBE was carried out for NdTlHg3O4 after structural relaxation.

Summary:
Size of the total moment (μB/cell): 0.0
Calculated total energy (Ry/atom): -0.27998
Crystal system: cubic

Cell: 5.9734 5.9734 5.9734 Å, 90.00 90.00 90.00°
Space group P-43m (No. 215)
Inequivalent atoms, fractional coordinates:
Nd 0.0000 0.0000 0.0000 [1 per cell]
Tl 0.5000 0.5000 0.5000 [1 per cell]
Hg 0.0000 0.0000 0.5000 [3 per cell]
O 0.2171 0.2171 0.7829 [4 per cell]